VASP calculation (SCAN) on LiPbAu at its PBEsol-relaxed geometry.

abc: 5.069 5.069 5.069
angles: 137.80 137.02 61.81
Sites, in units of the cell vectors:
Li 0.000 0.000 0.000
Pb 0.682 0.682 0.000
Au 0.348 0.348 0.000

Properties
- Energy of formation: -350 meV/atom
- SG: No. 44
- Calculated total energy: -49.46 eV per atom

---

VASP calculation (SCAN) on LiPb2Au at its PBEsol-relaxed geometry.

abc: 5.802 5.802 5.026
angles: 108.76 108.76 34.15
Sites, in units of the cell vectors:
Li 0.000 0.000 0.000
Pb 0.236 0.236 0.810
Pb 0.454 0.454 0.463
Au 0.689 0.689 0.271

Properties
- Energy of formation: -207 meV/atom
- SG: No. 8
- Offset from the most stable computed form: 36 meV per atom
- Calculated total energy: -55.98 eV per atom

---

VASP calculation (SCAN) on LiPb2Au at its PBEsol-relaxed geometry.

abc: 3.425 3.425 7.603
angles: 90.00 90.00 90.00
Sites, in units of the cell vectors:
Li 0.000 0.000 0.000
Pb 0.000 0.000 0.595
Pb 0.500 0.500 0.254
Au 0.500 0.500 0.852

Properties
- Energy of formation: -244 meV/atom
- SG: No. 99
- Offset from the most stable computed form: 0 meV per atom
- Calculated total energy: -56.02 eV per atom